[1]
An optimized crystal structure of YHRh2Au. Source: the Alexandria database, functional PBE-GGA.

## Properties
Magnetization (Bohr magnetons per cell): 0.00
E above lowest polymorph (meV per atom): 28
Crystal system: tetragonal
Space-group type: P4/mmm (123)

POSCAR file:
```
YHRh2Au
1.0
4.206 0.000 0.000
0.000 4.206 0.000
0.000 0.000 4.088
Y H Rh Au
1 1 2 1
Direct
0.000 0.000 0.000
0.500 0.500 0.500
0.000 0.500 0.500
0.500 0.000 0.500
0.500 0.500 0.000
```

[2]
An optimized crystal structure of PmEu3F. Source: the Alexandria database, functional PBE-GGA.

## Properties
Magnetization (Bohr magnetons per cell): 22.78
Uncorrected formation energy (eV/f.u.): -4.9
Crystal system: cubic
Space-group type: Pm-3m (221)

POSCAR file:
```
PmEu3F
1.0
5.385 0.000 0.000
0.000 5.385 0.000
0.000 0.000 5.385
Pm Eu F
1 3 1
Direct
0.000 0.000 0.000
0.000 0.500 0.500
0.500 0.000 0.500
0.500 0.500 0.000
0.500 0.500 0.500
```

[3]
An optimized crystal structure of Pm2Nd2Pd. Source: the Alexandria database, functional PBE-GGA.

## Properties
Magnetization (Bohr magnetons per cell): 0.00
Crystal system: monoclinic
E_form (eV/atom): -0.218
Space-group type: C2/m (12)

POSCAR file:
```
Pm2Nd2Pd
1.0
3.915 -6.011 0.000
3.915 6.011 0.000
-3.446 0.000 6.855
Pm Nd Pd
4 4 2
Direct
0.239 0.239 0.396
0.258 0.258 0.877
0.742 0.742 0.123
0.761 0.761 0.604
0.243 0.680 0.247
0.320 0.757 0.753
0.680 0.243 0.247
0.757 0.320 0.753
0.117 0.883 0.000
0.883 0.117 0.000
```

- Which value of magnetization does entry 2 give?
  22.78 Bohr magnetons per cell

- Look up the magnetization of the second one.
  22.78 Bohr magnetons per cell